NaPrPO GGA-PBE optimized geometry; calculated volume = 20.13 Å³ per atom; space group = Pmc2_1; calculated total energy = -5.642 eV/atom
1.0
4.138 0.000 0.000
0.000 6.736 0.000
0.000 0.000 5.778
Na Pr P O
2 2 2 2
direct
0.000 0.133 0.000 Na
0.000 0.867 0.500 Na
0.500 0.262 0.504 Pr
0.500 0.738 0.004 Pr
0.000 0.498 0.251 P
0.000 0.502 0.751 P
0.500 0.005 0.761 O
0.500 0.995 0.261 O



NaPPtO GGA-PBE optimized geometry; calculated volume = 14.07 Å³ per atom; space group = P4/nmm; calculated total energy = -4.120 eV/atom
1.0
3.596 0.000 0.000
0.000 3.596 0.000
0.000 0.000 8.706
Na P Pt O
2 2 2 2
direct
0.250 0.750 0.000 Na
0.750 0.250 0.000 Na
0.250 0.250 0.244 P
0.750 0.750 0.756 P
0.250 0.250 0.653 Pt
0.750 0.750 0.347 Pt
0.250 0.750 0.500 O
0.750 0.250 0.500 O



NaPPtO GGA-PBE optimized geometry; calculated volume = 15.66 Å³ per atom; space group = Pmc2_1; calculated total energy = -4.974 eV/atom
1.0
3.244 0.000 0.000
0.000 7.301 0.000
0.000 0.000 5.290
Na P Pt O
2 2 2 2
direct
0.000 0.146 0.000 Na
0.000 0.854 0.500 Na
0.000 0.443 0.492 P
0.000 0.557 0.992 P
0.500 0.228 0.497 Pt
0.500 0.772 0.997 Pt
0.500 0.004 0.749 O
0.500 0.996 0.249 O